No. 1
CsNp2S4 | OQMD via LeMat-Bulk | PBE | optimized geometry; DFT total energy = -105.17 eV/cell
1.0
2.0303 -6.7172 0.0000
2.0303 6.7172 0.0000
0.0000 0.0000 14.0099
S Cs Np
8 2 4
Cartesian
2.0303 -5.4065 3.5025
2.0303 -3.4778 12.6368
2.0303 -3.4778 8.3780
2.0303 0.0000 7.0049
2.0303 5.4065 10.5074
2.0303 3.4778 5.6318
2.0303 0.0000 0.0000
2.0303 3.4778 1.3731
2.0303 1.4300 10.5074
2.0303 -1.4300 3.5025
2.0303 -4.9183 0.9042
2.0303 -4.9183 6.1008
2.0303 4.9183 7.9091
2.0303 4.9183 13.1057

=====

No. 2
NdTlB4 | OQMD via LeMat-Bulk | PBE | optimized geometry; distance to the lowest polymorph of the same formula = 0.00 kcal/mol of atoms; DFT total energy = -33.16 eV/cell
1.0
-0.8408 0.1342 5.3448
-4.4619 2.9055 0.9702
1.9474 -4.4843 -2.3217
Tl B Nd
1 4 1
Cartesian
-2.6513 1.5198 3.1575
-1.0177 -0.6233 2.6217
-2.3375 -0.8214 1.3716
-0.6299 -2.1481 3.6814
-2.7254 0.7034 0.3119
0.0000 0.0000 0.0000

=====

No. 3
RbDyTlTe3 | OQMD via LeMat-Bulk | PBE | optimized geometry; DFT total energy = -45.10 eV/cell
1.0
-6.5362 -1.1834 5.4602
6.0906 -3.3640 -5.0521
7.7747 0.0747 9.3230
Tl Te Dy Rb
2 6 2 2
Cartesian
-3.9253 -1.2799 7.2354
11.2543 -3.1928 2.4956
-4.7403 -1.4606 4.3316
-1.2139 -1.4267 8.5603
6.4273 -2.3591 6.5143
8.5429 -3.0459 1.1707
12.0693 -3.0121 5.3994
0.9017 -2.1135 3.2167
3.6645 -2.2363 4.8655
-0.2228 -2.2737 0.2040
2.4789 -1.6772 9.8015
4.8501 -2.7954 -0.0705

=====

No. 4
Y4Lu2P3N3 | OQMD via LeMat-Bulk | PBE | optimized geometry; DFT total energy = -187.40 eV/cell
1.0
5.4768 -3.1625 0.0000
5.4768 3.1625 0.0000
-3.6463 0.0000 12.5435
Y N P Lu
8 6 6 4
Cartesian
8.2123 -0.5246 1.3501
-0.9088 0.5321 7.6215
6.3892 0.5246 7.6219
0.9182 -0.5246 4.9216
-0.9049 0.5246 11.1934
8.2162 -0.5321 4.9220
0.9143 -0.5321 1.3497
6.3931 0.5321 11.1938
6.3555 -1.5217 0.0000
2.7384 -1.5813 0.0000
4.5981 1.5217 0.0000
0.9153 1.5813 6.2718
4.5324 1.5217 6.2718
2.7750 -1.5217 6.2718
4.5274 -0.5035 9.4099
2.7421 2.5895 9.4076
6.3505 0.5035 3.1381
0.9569 -0.5035 9.4054
2.7800 0.5035 3.1336
4.5653 -2.5894 3.1359
2.7360 0.5238 11.2305
4.5591 -0.5238 4.9588
4.5714 -0.5238 1.3130
2.7483 0.5238 7.5848

=====

No. 5
GdNbSn | OQMD via LeMat-Bulk | PBE | optimized geometry; DFT total energy = -16.46 eV/cell
1.0
3.2440 -3.0180 -2.3557
-1.3349 -4.6938 -1.1697
-0.7778 -1.2668 -4.7929
Sn Gd Nb
1 1 1
Cartesian
0.8485 -6.7339 -6.2387
0.0000 0.0000 0.0000
0.2828 -2.2446 -2.0796

=====

No. 6
Ho8Re | OQMD via LeMat-Bulk | PBE | optimized geometry; formation energy = 0.051 eV/atom; DFT total energy = -48.58 eV/cell
1.0
8.9931 0.0000 0.0000
-4.4965 7.7882 0.0000
0.0000 0.0000 3.6906
Ho Re
8 1
Cartesian
-1.1071 1.9175 1.8453
0.0000 5.1922 1.8453
-2.8506 4.9373 0.0000
2.2142 0.0000 1.8453
3.3895 5.8707 1.8453
1.6460 2.8509 0.0000
4.4966 2.5961 1.8453
5.7011 0.0000 0.0000
0.0000 0.0000 0.0000

=====

No. 7
KNpAuS3 | OQMD via LeMat-Bulk | PBE | optimized geometry; DFT total energy = -71.93 eV/cell
1.0
-2.5854 3.2942 -6.0774
0.9835 -6.2599 3.7838
-9.1144 1.3560 4.6125
Au S K Np
2 6 2 2
Cartesian
-9.2015 3.7230 -2.0109
-1.5148 -5.3327 4.3298
-7.0061 2.8204 -2.3772
-7.8475 0.0981 1.7304
0.2251 -5.0156 2.7046
-10.9414 3.4059 -0.3857
-2.8689 -1.7079 0.5885
-3.7103 -4.4301 4.6961
-4.0216 1.3781 -2.5966
-6.6947 -2.9878 4.9155
-5.3582 -0.8049 1.1594
-0.8009 -1.4828 -1.1468

=====

No. 8
AcZnTc | OQMD via LeMat-Bulk | PBE | optimized geometry; formation energy = 0.620 eV/atom; DFT total energy = -13.87 eV/cell
1.0
0.0000 3.3511 3.3511
3.3511 0.0000 3.3511
3.3511 3.3511 0.0000
Zn Tc Ac
1 1 1
Cartesian
0.0000 0.0000 0.0000
5.0266 5.0266 5.0266
1.6755 1.6755 1.6755

=====

No. 9
Pr3Cu2Si2Ge2Pd2 | OQMD via LeMat-Bulk | PBE | optimized geometry; distance to the lowest polymorph of the same formula = 0.06 kcal/mol of atoms; DFT total energy = -60.47 eV/cell
1.0
11.6905 4.8140 1.7533
8.3952 7.6054 5.8818
-9.4201 -8.4032 -1.8876
Pd Cu Ge Pr Si
2 2 2 3 2
Cartesian
7.6278 4.6344 5.0914
3.0377 -0.6183 0.6560
5.0311 3.1109 1.9125
15.0545 9.3085 5.7226
5.5891 3.3738 4.3164
5.0764 0.6423 1.4310
2.5104 1.4702 3.1461
10.0428 6.2097 3.8175
8.1551 2.5459 2.6013
19.1149 11.8191 7.2661
0.9707 0.6002 0.3690

=====

No. 10
GdDyEr2In2 | OQMD via LeMat-Bulk | PBE | optimized geometry; DFT total energy = -25.97 eV/cell
1.0
-4.1837 -3.2309 -0.9886
4.7262 -0.9107 -2.3984
1.8353 -3.9410 5.1130
Er Dy In Gd
2 1 2 1
Cartesian
-0.7543 -3.4441 -0.1786
0.1621 -5.4119 2.3744
2.6739 -3.6546 0.6280
1.7563 -1.6841 -1.9285
0.9176 -1.9705 2.5565
0.0000 0.0000 0.0000

=====

No. 11
TlPd2Au | OQMD via LeMat-Bulk | PBE | optimized geometry; distance to the lowest polymorph of the same formula = 2.87 kcal/mol of atoms; DFT total energy = -16.31 eV/cell
1.0
0.0000 3.2828 3.2828
3.2828 0.0000 3.2828
3.2828 3.2828 0.0000
Au Pd Tl
1 2 1
Cartesian
1.6414 1.6414 1.6414
0.0000 0.0000 0.0000
4.9242 4.9242 4.9242
3.2828 3.2828 3.2828

=====

No. 12
YBeAlNi | OQMD via LeMat-Bulk | PBE | optimized geometry; distance to the lowest polymorph of the same formula = 5.29 kcal/mol of atoms; DFT total energy = -19.73 eV/cell
1.0
0.0000 3.1617 3.1617
3.1617 0.0000 3.1617
3.1617 3.1617 0.0000
Ni Be Y Al
1 1 1 1
Cartesian
3.1617 3.1617 3.1617
4.7425 4.7425 4.7425
1.5808 1.5808 1.5808
0.0000 0.0000 0.0000

=====

Which of these has the highest DFT total energy?
AcZnTc

=====

DFT total energy of number 2 (NdTlB4)?
-33.16 eV/cell